A:
Below is a geometry-optimized Li8Mn3Fe5B8O24 structure, with properties calculated at the GGA+U level.

Output
Space group: P1, No. 1
Density of states at the Fermi level (states/eV/cell): 0.00
V (Å³/f.u.): 479.8

Cell: 5.221 5.233 20.183 Å, 91.02 90.84 119.47°
Atoms (fractional coordinates):
Li: 0.000 0.000 0.000
Li: 0.000 0.003 0.498
Li: 0.016 0.978 0.245
Li: 0.018 0.979 0.750
Li: 0.324 0.320 0.622
Li: 0.328 0.321 0.122
Li: 0.338 0.310 0.371
Li: 0.338 0.313 0.879
Mn: 0.349 0.662 0.262
Mn: 0.662 0.987 0.641
Mn: 0.682 0.333 0.515
Fe: 0.003 0.647 0.891
Fe: 0.355 0.655 0.766
Fe: 0.664 0.987 0.137
Fe: 0.681 0.332 0.014
Fe: 0.996 0.654 0.388
B: 0.007 0.653 0.140
B: 0.007 0.654 0.643
B: 0.336 0.659 0.517
B: 0.337 0.658 0.017
B: 0.668 0.990 0.391
B: 0.671 0.315 0.264
B: 0.672 0.991 0.895
B: 0.674 0.319 0.770
O: 0.022 0.923 0.145
O: 0.025 0.926 0.650
O: 0.093 0.680 0.995
O: 0.097 0.688 0.496
O: 0.251 0.622 0.659
O: 0.254 0.628 0.158
O: 0.312 0.385 0.523
O: 0.318 0.387 0.022
O: 0.395 0.285 0.272
O: 0.400 0.296 0.777
O: 0.421 0.732 0.368
O: 0.422 0.733 0.874
O: 0.601 0.913 0.035
O: 0.604 0.911 0.535
O: 0.644 0.237 0.409
O: 0.647 0.241 0.912
O: 0.694 0.075 0.747
O: 0.703 0.078 0.242
O: 0.746 0.409 0.620
O: 0.747 0.404 0.118
O: 0.921 0.583 0.281
O: 0.929 0.583 0.787
O: 0.939 0.006 0.397
O: 0.942 0.006 0.900

B:
Below is a geometry-optimized Li8Mn3Fe5B8O24 structure, with properties calculated at the GGA+U level.

Output
Space group: P1, No. 1
Density of states at the Fermi level (states/eV/cell): 0.00
V (Å³/f.u.): 478.2

Cell: 5.224 5.233 20.095 Å, 90.94 90.92 119.42°
Atoms (fractional coordinates):
Li: 0.000 0.000 0.000
Li: 0.000 0.004 0.500
Li: 0.018 0.983 0.250
Li: 0.019 0.979 0.751
Li: 0.678 0.672 0.372
Li: 0.680 0.669 0.877
Li: 0.690 0.663 0.124
Li: 0.694 0.663 0.626
Mn: 0.013 0.335 0.860
Mn: 0.333 0.648 0.233
Mn: 0.336 0.648 0.735
Fe: 0.013 0.337 0.359
Fe: 0.353 0.999 0.109
Fe: 0.355 0.996 0.611
Fe: 0.660 0.324 0.484
Fe: 0.667 0.319 0.985
B: 0.009 0.330 0.106
B: 0.010 0.328 0.607
B: 0.342 0.664 0.481
B: 0.344 0.664 0.983
B: 0.344 0.993 0.355
B: 0.347 0.989 0.858
B: 0.681 0.325 0.732
B: 0.682 0.327 0.231
O: 0.074 0.967 0.852
O: 0.074 0.977 0.350
O: 0.088 0.400 0.965
O: 0.088 0.401 0.463
O: 0.267 0.579 0.128
O: 0.269 0.579 0.629
O: 0.320 0.907 0.004
O: 0.322 0.907 0.504
O: 0.369 0.744 0.338
O: 0.383 0.749 0.839
O: 0.415 0.074 0.714
O: 0.417 0.074 0.213
O: 0.591 0.250 0.881
O: 0.594 0.252 0.376
O: 0.615 0.683 0.977
O: 0.616 0.686 0.475
O: 0.706 0.600 0.225
O: 0.710 0.599 0.725
O: 0.761 0.352 0.591
O: 0.761 0.355 0.088
O: 0.918 0.294 0.755
O: 0.920 0.297 0.254
O: 0.995 0.061 0.100
O: 0.999 0.061 0.600

C:
Below is a geometry-optimized Li8Mn3Fe5B8O24 structure, with properties calculated at the GGA+U level.

Output
Space group: P1, No. 1
Density of states at the Fermi level (states/eV/cell): 0.00
V (Å³/f.u.): 498.7

Cell: 5.237 5.965 16.149 Å, 81.50 88.90 88.75°
Atoms (fractional coordinates):
Li: 0.000 0.000 0.000
Li: 0.000 0.497 0.504
Li: 0.310 0.368 0.725
Li: 0.312 0.864 0.223
Li: 0.497 0.748 0.753
Li: 0.499 0.243 0.252
Li: 0.812 0.619 0.971
Li: 0.814 0.107 0.477
Mn: 0.336 0.962 0.405
Mn: 0.830 0.709 0.153
Mn: 0.981 0.396 0.325
Fe: 0.320 0.462 0.905
Fe: 0.488 0.652 0.573
Fe: 0.491 0.152 0.071
Fe: 0.818 0.211 0.655
Fe: 0.990 0.904 0.821
B: 0.329 0.143 0.568
B: 0.331 0.645 0.064
B: 0.481 0.462 0.413
B: 0.481 0.973 0.910
B: 0.828 0.395 0.815
B: 0.831 0.891 0.316
B: 0.979 0.721 0.660
B: 0.982 0.217 0.159
O: 0.070 0.170 0.556
O: 0.071 0.668 0.050
O: 0.239 0.696 0.672
O: 0.242 0.194 0.171
O: 0.332 0.607 0.457
O: 0.334 0.105 0.959
O: 0.358 0.859 0.853
O: 0.364 0.333 0.360
O: 0.445 0.761 0.121
O: 0.450 0.263 0.624
O: 0.477 0.008 0.522
O: 0.482 0.511 0.017
O: 0.568 0.421 0.805
O: 0.572 0.914 0.302
O: 0.740 0.441 0.427
O: 0.741 0.948 0.921
O: 0.831 0.853 0.709
O: 0.832 0.349 0.207
O: 0.858 0.608 0.603
O: 0.861 0.101 0.102
O: 0.946 0.009 0.374
O: 0.953 0.510 0.872
O: 0.975 0.262 0.767
O: 0.983 0.756 0.270

Most stable structure among those shown: C.